LiCdSi2 (PBE, optimized geometry); crystal system = monoclinic; raw total energy = -3.269 eV/atom; V = 68 Å³/cell; E_form (uncorrected) = 0.15 eV/atom
1.0
-2.259 -3.516 -2.153
0.649 -3.743 -2.769
0.484 -3.691 3.642
Cd Li Si
1 1 2
Direct
0.750 0.750 0.750
0.250 0.250 0.250
0.997 0.997 0.053
0.503 0.503 0.447

---

LiCdSi (PBE, optimized geometry); crystal system = tetragonal; raw total energy = -2.707 eV/atom; V = 52 Å³/cell; E_form (uncorrected) = 0.04 eV/atom
1.0
6.659 -0.047 0.049
6.058 2.765 0.051
0.601 0.128 2.809
Cd Li Si
1 1 1
Direct
0.998 0.998 0.002
0.323 0.323 0.677
0.678 0.678 0.322

---

Li4CdSi (PBE, optimized geometry); crystal system = hexagonal; raw total energy = -2.556 eV/atom; V = 93 Å³/cell; E_form (uncorrected) = -0.22 eV/atom; energy above the most stable polymorph in this dataset = 0 meV/atom
1.0
4.434 -0.020 -0.023
-2.201 3.845 -0.197
0.029 0.299 5.482
Li Cd Si
4 1 1
Direct
0.671 0.833 0.275
0.337 0.166 0.722
0.671 0.833 0.722
0.337 0.166 0.274
0.004 0.499 0.998
0.004 0.499 0.498

---

Li6Cd3Si (PBE, optimized geometry); crystal system = monoclinic; raw total energy = -2.174 eV/atom; V = 350 Å³/cell; E_form (uncorrected) = -0.21 eV/atom
1.0
4.660 0.000 0.000
0.000 7.231 -2.929
0.000 -0.314 10.521
Li Cd Si
12 6 2
Direct
0.250 0.443 0.128
0.750 0.557 0.872
0.250 0.133 0.246
0.750 0.867 0.754
0.250 0.640 0.723
0.750 0.360 0.277
0.250 0.208 0.521
0.750 0.792 0.479
0.250 0.865 0.354
0.750 0.135 0.646
0.250 0.024 0.916
0.750 0.976 0.084
0.250 0.558 0.433
0.750 0.442 0.567
0.250 0.315 0.811
0.750 0.685 0.189
0.250 0.735 0.021
0.750 0.265 0.979
0.250 0.931 0.642
0.750 0.069 0.358

---

LiCd4Si (PBE, optimized geometry); crystal system = cubic; raw total energy = -1.634 eV/atom; V = 135 Å³/cell; E_form (uncorrected) = 0.20 eV/atom
1.0
0.000 4.068 4.068
4.068 0.000 4.068
4.068 4.068 0.000
Li Cd Si
1 4 1
Direct
0.750 0.750 0.750
0.874 0.375 0.375
0.375 0.375 0.874
0.375 0.874 0.375
0.375 0.375 0.375
0.000 0.000 0.000

---

LiCdSi2 (PBE, optimized geometry); crystal system = orthorhombic; raw total energy = -3.287 eV/atom; V = 70 Å³/cell; E_form (uncorrected) = 0.13 eV/atom
1.0
-3.676 2.037 1.666
-0.676 -2.307 1.330
2.969 1.701 4.472
Cd Li Si
1 1 2
Direct
0.500 0.250 0.250
0.500 0.750 0.750
0.000 0.250 0.965
0.000 0.250 0.535

---

LiCdSi (PBE, optimized geometry); crystal system = orthorhombic; raw total energy = -2.715 eV/atom; V = 53 Å³/cell; E_form (uncorrected) = 0.04 eV/atom
1.0
-3.332 -2.510 -2.338
1.131 -0.951 -4.548
1.675 -0.613 4.437
Cd Li Si
1 1 1
Direct
0.002 0.002 0.000
0.334 0.334 0.000
0.664 0.664 0.000

---

LiCdSi4 (PBE, optimized geometry); crystal system = cubic; raw total energy = -3.838 eV/atom; V = 101 Å³/cell; E_form (uncorrected) = 0.25 eV/atom
1.0
0.000 3.692 3.692
3.692 0.000 3.692
3.692 3.692 0.000
Li Cd Si
1 1 4
Direct
0.000 0.000 0.000
0.750 0.750 0.750
0.877 0.374 0.374
0.374 0.374 0.877
0.374 0.877 0.374
0.374 0.374 0.374